No. 1
Crystalline CaSn2Hg6 at its relaxed geometry, computed with PBE-GGA.

Calculated values
ΔE_f: -119.5 meV per atom
DOS(E_F): 0.406 states/eV per atom
crystal system: triclinic
symmetry: P-1 (2)

Cell lengths 4.8430, 5.8519, 9.3028 Å; angles 95.35, 90.14, 114.22 degrees
Positions (direct):
Ca: 0.0000 0.0000 0.0000
Sn: 0.3447 0.6860 0.1821
Sn: 0.6553 0.3140 0.8179
Hg: 0.0007 0.0017 0.6630
Hg: 0.3304 0.6618 0.8469
Hg: 0.3402 0.6820 0.5139
Hg: 0.6598 0.3180 0.4861
Hg: 0.6696 0.3382 0.1531
Hg: 0.9993 0.9983 0.3370

=====

No. 2
Crystalline Ca3SnHg5 at its relaxed geometry, computed with PBE-GGA.

Calculated values
ΔE_f: -453.2 meV per atom
DOS(E_F): 0.495 states/eV per atom
crystal system: hexagonal
symmetry: P6_3/mcm (193)

Cell lengths 9.2231, 9.2231, 6.4308 Å; angles 90.00, 90.00, 120.00 degrees
Positions (direct):
Ca: 0.0000 0.3476 0.2500
Ca: 0.0000 0.6524 0.7500
Ca: 0.3476 0.0000 0.2500
Ca: 0.3476 0.3476 0.7500
Ca: 0.6524 0.0000 0.7500
Ca: 0.6524 0.6524 0.2500
Sn: 0.0000 0.0000 0.0000
Sn: 0.0000 0.0000 0.5000
Hg: 0.0000 0.3200 0.7500
Hg: 0.0000 0.6800 0.2500
Hg: 0.3200 0.0000 0.7500
Hg: 0.3200 0.3200 0.2500
Hg: 0.3333 0.6667 0.0000
Hg: 0.3333 0.6667 0.5000
Hg: 0.6667 0.3333 0.0000
Hg: 0.6667 0.3333 0.5000
Hg: 0.6800 0.0000 0.2500
Hg: 0.6800 0.6800 0.7500

=====

No. 3
Crystalline Ca5Sn5Hg2 at its relaxed geometry, computed with PBE-GGA.

Calculated values
ΔE_f: -538.8 meV per atom
DOS(E_F): 0.391 states/eV per atom
crystal system: monoclinic
symmetry: C2/m (12)

Cell lengths 8.7245, 8.7245, 10.3060 Å; angles 124.45, 124.45, 32.40 degrees
Positions (direct):
Ca: 0.0000 0.0000 0.0000
Ca: 0.1219 0.1219 0.4310
Ca: 0.1633 0.1633 0.8428
Ca: 0.8367 0.8367 0.1572
Ca: 0.8781 0.8781 0.5690
Sn: 0.2650 0.2650 0.2735
Sn: 0.4631 0.4631 0.1681
Sn: 0.5000 0.5000 0.5000
Sn: 0.5369 0.5369 0.8319
Sn: 0.7350 0.7350 0.7265
Hg: 0.3454 0.3454 0.7755
Hg: 0.6546 0.6546 0.2245

=====

Number 1: volume 26.6 A^3/atom. Number 2: volume 26.3 A^3/atom. Number 3: volume 28.3 A^3/atom.